Entry 1:
Sm6Te3PSe2 | PBE | optimized geometry

Values from the calculation:
formation energy without anion corrections	-1.622	eV per atom

The structure in POSCAR format:
```
Sm6Te3PSe2
1.0
-4.610 -2.331 5.268
7.098 1.233 1.595
-2.379 7.169 -0.629
Sm Te P Se
6 3 1 2
Cartesian
1.907 5.352 4.206
-1.799 0.717 2.028
-1.255 5.345 1.187
1.924 1.851 0.860
1.363 0.725 5.048
-1.816 4.219 5.374
0.054 3.035 3.117
3.912 4.209 1.907
-3.804 1.861 4.327
0.000 0.000 0.000
3.186 0.042 2.822
-0.698 -1.140 4.041
```

Entry 2:
AlClF3 | PBE | optimized geometry

Values from the calculation:
formation energy without anion corrections	-0.414	eV per atom
polymorph energy (0 for the lowest one)	1.755	eV per atom

The structure in POSCAR format:
```
AlClF3
1.0
4.393 0.000 0.000
0.000 4.393 0.000
0.000 0.000 4.393
F Al Cl
3 1 1
Cartesian
0.000 2.196 0.000
0.000 0.000 2.196
2.196 0.000 0.000
2.196 2.196 2.196
0.000 0.000 0.000
```

Entry 3:
CuTe3Cl | PBE | optimized geometry

Values from the calculation:
formation energy without anion corrections	0.345	eV per atom
polymorph energy (0 for the lowest one)	0.475	eV per atom

The structure in POSCAR format:
```
CuTe3Cl
1.0
5.123 0.000 0.000
0.000 5.123 0.000
0.000 0.000 5.123
Te Cl Cu
3 1 1
Cartesian
0.000 0.000 2.562
0.000 2.562 0.000
2.562 0.000 0.000
2.562 2.562 2.562
0.000 0.000 0.000
```

Entry 4:
Sm2Al3Zn2 | PBE | optimized geometry

Values from the calculation:
E_form	-39.79	kJ per mole of atoms

The structure in POSCAR format:
```
Sm2Al3Zn2
1.0
4.323 0.000 -1.031
0.000 7.034 0.000
0.055 0.000 9.813
Zn Al Sm
4 6 4
Cartesian
1.396 3.065 5.857
2.982 3.969 2.925
1.396 0.452 5.857
2.982 6.582 2.925
1.946 4.006 8.164
2.432 0.490 0.619
2.432 3.027 0.619
3.396 1.758 4.663
1.946 6.544 8.164
0.982 5.275 4.120
0.709 1.758 2.975
0.214 5.275 0.899
3.669 5.275 5.807
4.164 1.758 7.884
```

| no. | DOS at the Fermi energy (states/eV per atom) |
| --- | --- |
| 1 | 0.432 |
| 2 | 0.275 |
| 3 | 1.103 |
| 4 | 0.410 |